# 1
This record from the Alexandria database describes a relaxed structure of ReTeIr2. The functional is GGA-PBE.

Values from the calculation:
magnetization	0.00	Bohr magnetons per cell
SG	No. 99
D(E_F)	4.25	states/eV/f.u.
energy relative to the elements, uncorrected	2.382	eV per formula unit

a b c (Å): 3.3456 3.3456 6.0506
angles (deg): 90.00 90.00 90.00
With the nearest neighbours (Å) after each atom.
Fractional coordinates of all 4 atoms:
1 Ir 0.0000 0.0000 0.0153  1 Re 2.68, 4 Ir 2.78, 4 Te 2.79
2 Ir 0.5000 0.5000 0.2556  4 Re 2.67, 4 Ir 2.78, 1 Te 2.94
3 Re 0.0000 0.0000 0.4589  5 Ir 2.67-2.68
4 Te 0.5000 0.5000 0.7702  6 Ir 2.79-3.11, 4 Re 3.02



# 2
This record from the Alexandria database describes a relaxed structure of Re2TeIr. The functional is GGA-PBE.

Values from the calculation:
magnetization	0.00	Bohr magnetons per cell
SG	No. 123
D(E_F)	5.30	states/eV/f.u.
energy relative to the elements, uncorrected	3.251	eV per formula unit

a b c (Å): 4.3468 3.8857 3.8857
angles (deg): 90.00 90.00 90.00
With the nearest neighbours (Å) after each atom.
Fractional coordinates of all 4 atoms:
1 Ir 0.5000 0.0000 0.5000  4 Te 2.75, 8 Re 2.92
2 Re 0.0000 0.0000 0.0000  4 Re 2.75, 4 Te 2.92, 4 Ir 2.92
3 Re 0.0000 0.5000 0.5000  4 Re 2.75, 4 Te 2.92, 4 Ir 2.92
4 Te 0.5000 0.5000 0.0000  4 Ir 2.75, 8 Re 2.92



# 3
This record from the Alexandria database describes a relaxed structure of ReTeIr2. The functional is GGA-PBE.

Values from the calculation:
magnetization	0.00	Bohr magnetons per cell
SG	No. 139
D(E_F)	3.62	states/eV/f.u.
energy relative to the elements, uncorrected	2.272	eV per formula unit

a b c (Å): 4.9364 4.9364 4.9364
angles (deg): 132.09 132.09 70.08
With the nearest neighbours (Å) after each atom.
Fractional coordinates of all 4 atoms:
1 Ir 0.0000 0.0000 0.0000  4 Ir 2.83, 4 Te 2.85, 4 Re 2.85
2 Ir 0.5000 0.5000 0.0000  4 Ir 2.83, 4 Re 2.85, 4 Te 2.85
3 Re 0.2500 0.7500 0.5000  4 Te 2.83, 8 Ir 2.85
4 Te 0.7500 0.2500 0.5000  4 Re 2.83, 8 Ir 2.85